1.
# ReTcAg2 (PBE, optimized geometry)
data_ReTcAg2
_chemical_formula_sum 'Re4 Tc4 Ag8'
_symmetry_space_group_name_H-M 'P 1'
_symmetry_Int_Tables_number 1
_cell_length_a 6.344
_cell_length_b 6.344
_cell_length_c 6.344
_cell_angle_alpha 90.00
_cell_angle_beta 90.00
_cell_angle_gamma 90.00
loop_
_symmetry_equiv_pos_as_xyz
'x,y,z'
loop_
_atom_site_label
_atom_site_type_symbol
_atom_site_fract_x
_atom_site_fract_y
_atom_site_fract_z
_atom_site_occupancy
Re1 Re 0.000 0.000 0.000 1
Re2 Re 0.000 0.500 0.500 1
Re3 Re 0.500 0.000 0.500 1
Re4 Re 0.500 0.500 0.000 1
Tc1 Tc 0.000 0.000 0.500 1
Tc2 Tc 0.000 0.500 0.000 1
Tc3 Tc 0.500 0.000 0.000 1
Tc4 Tc 0.500 0.500 0.500 1
Ag1 Ag 0.250 0.250 0.250 1
Ag2 Ag 0.250 0.250 0.750 1
Ag3 Ag 0.250 0.750 0.250 1
Ag4 Ag 0.250 0.750 0.750 1
Ag5 Ag 0.750 0.250 0.250 1
Ag6 Ag 0.750 0.250 0.750 1
Ag7 Ag 0.750 0.750 0.250 1
Ag8 Ag 0.750 0.750 0.750 1
# uncorrected energy	-6.023	eV/atom
# M_tot	0.0	μB per cell

2.
# ReTc2Ag (PBE, optimized geometry)
data_ReTc2Ag
_chemical_formula_sum 'Re2 Tc4 Ag2'
_symmetry_space_group_name_H-M 'P 1'
_symmetry_Int_Tables_number 1
_cell_length_a 2.891
_cell_length_b 4.612
_cell_length_c 9.422
_cell_angle_alpha 90.00
_cell_angle_beta 90.00
_cell_angle_gamma 90.00
loop_
_symmetry_equiv_pos_as_xyz
'x,y,z'
loop_
_atom_site_label
_atom_site_type_symbol
_atom_site_fract_x
_atom_site_fract_y
_atom_site_fract_z
_atom_site_occupancy
Re1 Re 0.000 0.000 0.000 1
Re2 Re 0.500 0.500 0.500 1
Tc1 Tc 0.000 0.000 0.454 1
Tc2 Tc 0.000 0.500 0.728 1
Tc3 Tc 0.500 0.000 0.228 1
Tc4 Tc 0.500 0.500 0.954 1
Ag1 Ag 0.000 0.500 0.227 1
Ag2 Ag 0.500 0.000 0.727 1
# uncorrected energy	-8.456	eV/atom
# M_tot	0.0	μB per cell

3.
# Re2Tc2Ag (PBE, optimized geometry)
data_Re2Tc2Ag
_chemical_formula_sum 'Re4 Tc4 Ag2'
_symmetry_space_group_name_H-M 'P 1'
_symmetry_Int_Tables_number 1
_cell_length_a 7.633
_cell_length_b 7.633
_cell_length_c 2.780
_cell_angle_alpha 90.00
_cell_angle_beta 90.00
_cell_angle_gamma 90.00
loop_
_symmetry_equiv_pos_as_xyz
'x,y,z'
loop_
_atom_site_label
_atom_site_type_symbol
_atom_site_fract_x
_atom_site_fract_y
_atom_site_fract_z
_atom_site_occupancy
Re1 Re 0.155 0.345 0.000 1
Re2 Re 0.345 0.845 0.000 1
Re3 Re 0.655 0.155 0.000 1
Re4 Re 0.845 0.655 0.000 1
Tc1 Tc 0.137 0.637 0.500 1
Tc2 Tc 0.363 0.137 0.500 1
Tc3 Tc 0.637 0.863 0.500 1
Tc4 Tc 0.863 0.363 0.500 1
Ag1 Ag 0.000 0.000 0.500 1
Ag2 Ag 0.500 0.500 0.500 1
# uncorrected energy	-9.371	eV/atom
# M_tot	0.0	μB per cell